Below is a geometry-optimized LuTc2 structure, with properties calculated at the PBE-GGA level.

* space group: P6_3/mmc (194)
* D(E_F): 11.803 states/eV/cell
* ΔE_f: -0.276 eV/atom
* final energy: -8.693 eV/atom
* distance to the lowest polymorph of the same formula: 0 meV per atom

Cell: 5.3447 5.3447 8.7205 Å, 90.00 90.00 120.00°
Closest atoms and distances in Å follow each position.
Fractional positions:
Lu  0.3333  0.6667  0.4381  12 Tc 3.10-3.14, 4 Lu 3.27-3.28
Lu  0.6667  0.3333  0.5619  12 Tc 3.10-3.14, 4 Lu 3.27-3.28
Lu  0.6667  0.3333  0.9381  12 Tc 3.10-3.14, 4 Lu 3.27-3.28
Lu  0.3333  0.6667  0.0619  12 Tc 3.10-3.14, 4 Lu 3.27-3.28
Tc  0.0000  0.0000  0.5000  6 Tc 2.70
Tc  0.0000  0.0000  0.0000  6 Tc 2.70
Tc  0.8280  0.1720  0.2500  6 Tc 2.59-2.76
Tc  0.8280  0.6560  0.2500  6 Tc 2.59-2.76
Tc  0.3440  0.1720  0.2500  6 Tc 2.59-2.76
Tc  0.1720  0.8280  0.7500  6 Tc 2.59-2.76
Tc  0.1720  0.3440  0.7500  6 Tc 2.59-2.76
Tc  0.6560  0.8280  0.7500  6 Tc 2.59-2.76